# HoZrPO

An optimized crystal structure of HoZrPO (PBE, OQMD).

Calculated values
* energy above the lowest structure with this stoichiometry: 0.000 kcal/mol of atoms

abc: 4.135 4.135 8.477
angles: 90.00 90.00 90.00
Element x y z (fractional)
O  0.500  0.500  0.000
P  0.000  0.500  0.689
P  0.500  0.000  0.311
Ho  0.500  0.000  0.886
Ho  0.000  0.500  0.114
Zr  0.000  0.000  0.500
O  0.000  0.000  0.000
Zr  0.500  0.500  0.500